Entry 1:
DFT (GGA-PBEsol) results for an optimized crystal structure of LiSeCl2.

a = 4.8127 Å, b = 4.8127 Å, c = 3.2400 Å
α = 90.00°, β = 90.00°, γ = 90.00°
With the nearest neighbours (Å) after each atom.
Space group P4/mmm (No. 123)
Symmetry-distinct sites (fractional):
Li: 0.0000 0.0000 0.0000 (multiplicity 1)  8 Cl 2.90, 2 Li 3.24
Se: 0.5000 0.5000 0.0000 (multiplicity 1)  8 Cl 2.90, 2 Se 3.24
Cl: 0.0000 0.5000 0.5000 (multiplicity 2)  4 Se 2.90, 4 Li 2.90, 2 Cl 3.24

Calculated values
For the magnetic moment, the calculation gives 0.000 μB per atom. The calculation puts the total energy at -2.8854 eV per atom. The energy above the most stable polymorph in this dataset comes out at 149 meV per atom. As for the uncorrected formation energy: -0.43 eV/atom. As for the calculated volume: 75 Å³ per cell. The calculation puts the density of states at the Fermi level at 1.97 states/eV/cell.

Entry 2:
DFT (GGA-PBEsol) results for an optimized crystal structure of CuHgS2N.

a = 4.7231 Å, b = 4.7231 Å, c = 3.5967 Å
α = 90.00°, β = 90.00°, γ = 90.00°
With the nearest neighbours (Å) after each atom.
Space group P4/mmm (No. 123)
Symmetry-distinct sites (fractional):
Cu: 0.0000 0.0000 0.0000 (multiplicity 1)  2 N 1.80
Hg: 0.5000 0.5000 0.5000 (multiplicity 1)  8 S 2.97
S: 0.0000 0.5000 0.0000 (multiplicity 2)  2 Cu 2.36
N: 0.0000 0.0000 0.5000 (multiplicity 1)  2 Cu 1.80

Calculated values
For the magnetic moment, the calculation gives 0.335 μB per atom. The calculation puts the total energy at -3.5737 eV per atom. As for the uncorrected formation energy: 0.87 eV/atom. As for the calculated volume: 80 Å³ per cell. The calculation puts the density of states at the Fermi level at 4.06 states/eV/cell.

Entry 3:
DFT (GGA-PBEsol) results for an optimized crystal structure of FeHN3.

a = 3.2229 Å, b = 3.2229 Å, c = 3.2229 Å
α = 90.00°, β = 90.00°, γ = 90.00°
With the nearest neighbours (Å) after each atom.
Space group Pm-3m (No. 221)
Symmetry-distinct sites (fractional):
Fe: 0.0000 0.0000 0.0000 (multiplicity 1)  12 N 2.28
H: 0.5000 0.5000 0.5000 (multiplicity 1)  6 N 1.61
N: 0.0000 0.5000 0.5000 (multiplicity 3)  2 H 1.61

Calculated values
For the magnetic moment, the calculation gives 0.448 μB per atom. The calculation puts the total energy at -5.5709 eV per atom. As for the calculated volume: 33 Å³ per cell. The calculation puts the density of states at the Fermi level at 3.24 states/eV/cell.

Entry 4:
DFT (GGA-PBEsol) results for an optimized crystal structure of RbLiMo2As.

a = 4.6199 Å, b = 4.6199 Å, c = 4.4866 Å
α = 90.00°, β = 90.00°, γ = 90.00°
With the nearest neighbours (Å) after each atom.
Space group P4/mmm (No. 123)
Symmetry-distinct sites (fractional):
Rb: 0.0000 0.0000 0.0000 (multiplicity 1)  2 Li 2.24
Li: 0.0000 0.0000 0.5000 (multiplicity 1)  2 Rb 2.24, 4 Mo 2.31
Mo: 0.0000 0.5000 0.5000 (multiplicity 2)  2 Li 2.31
As: 0.5000 0.5000 0.0000 (multiplicity 1)  8 Mo 3.22, 4 Rb 3.27

Calculated values
For the magnetic moment, the calculation gives 0.896 μB per atom. The calculation puts the total energy at -4.4638 eV per atom. The value obtained for the energy of formation is 1.86 eV per atom. As for the calculated volume: 96 Å³ per cell. The calculation puts the density of states at the Fermi level at 5.09 states/eV/cell.